Crystalline SrV2AgPb at its relaxed geometry. Source: the Alexandria database, functional GGA-PBE.

a = 5.4685 Å, b = 5.4685 Å, c = 5.4429 Å
α = 90.00°, β = 90.00°, γ = 90.00°
Last column: nearest neighbours and their distance in Å.
Atoms (fractional coordinates):
1 Sr 0.0000 0.0000 0.0000  2 Ag 2.72, 4 V 2.73
2 V 0.0000 0.5000 0.0000  2 Sr 2.73
3 V 0.5000 0.0000 0.0000  2 Sr 2.73
4 Ag 0.0000 0.0000 0.5000  2 Sr 2.72
5 Pb 0.5000 0.5000 0.5000  8 V 3.86, 4 Ag 3.87

Its formation energy is 1.8212 eV/atom. As for the density of states at the Fermi level: 7.3 states/eV/cell.

***

Crystalline AcHoTaO6 at its relaxed geometry. Source: the Alexandria database, functional GGA-PBE.

a = 5.1763 Å, b = 5.1763 Å, c = 10.4998 Å
α = 90.00°, β = 90.00°, γ = 90.00°
Last column: nearest neighbours and their distance in Å.
Atoms (fractional coordinates):
1 Ac 0.0000 0.0000 0.0000  6 O 2.41-2.54
2 Ac 0.5000 0.5000 0.5000  6 O 2.41-2.54
3 Ho 0.0000 0.0000 0.3334  6 O 2.27-2.29
4 Ho 0.5000 0.5000 0.8334  6 O 2.27-2.29
5 Ta 0.0000 0.0000 0.6656  6 O 2.00-2.03
6 Ta 0.5000 0.5000 0.1656  6 O 2.00-2.03
7 O 0.1714 0.1714 0.5135  1 Ta 2.03, 1 Ho 2.27
8 O 0.1940 0.1940 0.7994  1 Ta 2.00
9 O 0.2262 0.2262 0.1825  1 Ta 2.01
10 O 0.2738 0.7262 0.6825  1 Ta 2.01
11 O 0.3060 0.6940 0.2994  1 Ta 2.00
12 O 0.3286 0.6714 0.0135  1 Ta 2.03, 1 Ho 2.27
13 O 0.6714 0.3286 0.0135  1 Ta 2.03, 1 Ho 2.27
14 O 0.6940 0.3060 0.2994  1 Ta 2.00
15 O 0.7262 0.2738 0.6825  1 Ta 2.01
16 O 0.7738 0.7738 0.1825  1 Ta 2.01
17 O 0.8060 0.8060 0.7994  1 Ta 2.00
18 O 0.8286 0.8286 0.5135  1 Ta 2.03, 1 Ho 2.27

For the uncorrected formation energy, the calculation gives -68.60 kcal/mol of atoms. As for the density of states at the Fermi level: 11.0 states/eV/cell.

***

Crystalline Nd2InRu at its relaxed geometry. Source: the Alexandria database, functional GGA-PBE.

a = 3.4768 Å, b = 8.5277 Å, c = 7.0656 Å
α = 90.00°, β = 104.22°, γ = 90.00°
Last column: nearest neighbours and their distance in Å.
Atoms (fractional coordinates):
1 Nd 0.1382 0.0556 0.2761  1 Ru 2.79
2 Nd 0.1382 0.4444 0.2761  1 Ru 2.79
3 Nd 0.8618 0.5556 0.7239  1 Ru 2.79
4 Nd 0.8618 0.9444 0.7239  1 Ru 2.79
5 In 0.4556 0.2500 0.9104  2 Ru 2.86
6 In 0.5444 0.7500 0.0896  2 Ru 2.86
7 Ru 0.2101 0.7500 0.4212  2 Nd 2.79, 2 In 2.86
8 Ru 0.7899 0.2500 0.5788  2 Nd 2.79, 2 In 2.86

Its formation energy is -0.2568 eV/atom. As for the density of states at the Fermi level: 5.9 states/eV/cell.

***

Crystalline LiAcZn4Ag2 at its relaxed geometry. Source: the Alexandria database, functional GGA-PBE.

a = 9.3801 Å, b = 9.3801 Å, c = 9.3801 Å
α = 27.78°, β = 27.78°, γ = 27.78°
Last column: nearest neighbours and their distance in Å.
Atoms (fractional coordinates):
1 Li 0.0000 0.0000 0.0000  8 Zn 2.55-2.78
2 Ac 0.5000 0.5000 0.5000  8 Zn 3.25-3.52
3 Zn 0.0943 0.0943 0.0943  1 Li 2.55, 3 Ag 2.71
4 Zn 0.3697 0.3697 0.3697  4 Ag 2.73-2.78, 3 Li 2.78, 3 Zn 3.04
5 Zn 0.6303 0.6303 0.6303  4 Ag 2.73-2.78, 3 Li 2.78, 3 Zn 3.04
6 Zn 0.9057 0.9057 0.9057  1 Li 2.55, 3 Ag 2.71
7 Ag 0.2667 0.2667 0.2667  7 Zn 2.71-2.78
8 Ag 0.7333 0.7333 0.7333  7 Zn 2.71-2.78

Its formation energy is -0.1808 eV/atom. As for the density of states at the Fermi level: 5.1 states/eV/cell.

***

Crystalline BaNaPd at its relaxed geometry. Source: the Alexandria database, functional GGA-PBE.

a = 4.9717 Å, b = 4.9717 Å, c = 4.4465 Å
α = 90.00°, β = 90.00°, γ = 120.00°
Last column: nearest neighbours and their distance in Å.
Atoms (fractional coordinates):
1 Ba 0.0000 0.0000 0.0000  6 Na 3.63, 6 Pd 3.63
2 Na 0.6667 0.3333 0.5000  3 Pd 2.87
3 Pd 0.3333 0.6667 0.5000  3 Na 2.87

Its formation energy is -0.1959 eV/atom. As for the density of states at the Fermi level: 1.9 states/eV/cell.

***

Crystalline LiZnSnHg at its relaxed geometry. Source: the Alexandria database, functional GGA-PBE.

a = 4.8592 Å, b = 4.8592 Å, c = 4.8592 Å
α = 60.00°, β = 60.00°, γ = 60.00°
Last column: nearest neighbours and their distance in Å.
Atoms (fractional coordinates):
1 Li 0.0000 0.0000 0.0000  4 Hg 2.98, 4 Sn 2.98
2 Zn 0.5000 0.5000 0.5000  4 Hg 2.98, 4 Sn 2.98
3 Sn 0.2500 0.2500 0.2500  4 Li 2.98, 4 Zn 2.98
4 Hg 0.7500 0.7500 0.7500  4 Li 2.98, 4 Zn 2.98

Its formation energy is -0.0951 eV/atom. As for the density of states at the Fermi level: 2.5 states/eV/cell.

***

Crystalline NdTm3Mg6 at its relaxed geometry. Source: the Alexandria database, functional GGA-PBE.

a = 9.2200 Å, b = 5.2785 Å, c = 11.2561 Å
α = 90.00°, β = 106.12°, γ = 90.00°
Last column: nearest neighbours and their distance in Å.
Atoms (fractional coordinates):
1 Nd 0.0548 0.2500 0.3947  8 Mg 3.22-3.38
2 Nd 0.9452 0.7500 0.6053  8 Mg 3.22-3.38
3 Tm 0.2520 0.2500 0.9974  8 Mg 3.18-3.29
4 Tm 0.3520 0.7500 0.8007  8 Mg 3.22-3.32
5 Tm 0.4553 0.2500 0.6032  8 Mg 3.19-3.35
6 Tm 0.5447 0.7500 0.3968  8 Mg 3.19-3.35
7 Tm 0.6480 0.2500 0.1993  8 Mg 3.22-3.32
8 Tm 0.7480 0.7500 0.0026  8 Mg 3.18-3.29
9 Mg 0.0497 0.7500 0.9065  3 Mg 3.15-3.24, 4 Tm 3.23-3.32, 1 Nd 3.26
10 Mg 0.1480 0.7500 0.1974  8 Mg 3.15-3.25
11 Mg 0.1504 0.2500 0.7033  4 Tm 3.18-3.31, 1 Mg 3.24, 3 Nd 3.26-3.34
12 Mg 0.2524 0.7500 0.4976  4 Tm 3.20-3.28, 3 Nd 3.23-3.38, 1 Mg 3.25
13 Mg 0.3485 0.2500 0.2935  5 Tm 3.20-3.35, 1 Nd 3.22, 2 Mg 3.23
14 Mg 0.4441 0.7500 0.1014  7 Tm 3.19-3.29, 1 Mg 3.20
15 Mg 0.5559 0.2500 0.8986  7 Tm 3.19-3.29, 1 Mg 3.20
16 Mg 0.6515 0.7500 0.7065  5 Tm 3.20-3.35, 1 Nd 3.22, 2 Mg 3.23
17 Mg 0.7476 0.2500 0.5024  4 Tm 3.20-3.28, 3 Nd 3.23-3.38, 1 Mg 3.25
18 Mg 0.8496 0.7500 0.2967  4 Tm 3.18-3.31, 1 Mg 3.24, 3 Nd 3.26-3.34
19 Mg 0.8520 0.2500 0.8026  8 Mg 3.15-3.25
20 Mg 0.9503 0.2500 0.0935  3 Mg 3.15-3.24, 4 Tm 3.23-3.32, 1 Nd 3.26

Its formation energy is -0.0557 eV/atom. As for the density of states at the Fermi level: 18.6 states/eV/cell.

***

Crystalline CrIn2Rh at its relaxed geometry. Source: the Alexandria database, functional GGA-PBE.

a = 3.2722 Å, b = 3.2722 Å, c = 6.4698 Å
α = 90.00°, β = 90.00°, γ = 90.00°
Last column: nearest neighbours and their distance in Å.
Atoms (fractional coordinates):
1 Cr 0.0000 0.0000 0.0000  8 In 2.85
2 In 0.5000 0.5000 0.2560  4 Rh 2.80, 4 Cr 2.85
3 In 0.5000 0.5000 0.7440  4 Rh 2.80, 4 Cr 2.85
4 Rh 0.0000 0.0000 0.5000  8 In 2.80

Its formation energy is 0.0033 eV/atom. As for the density of states at the Fermi level: 1.5 states/eV/cell.

***

Crystalline RbLuS2O8 at its relaxed geometry. Source: the Alexandria database, functional GGA-PBE.

a = 8.9305 Å, b = 5.1109 Å, c = 7.7379 Å
α = 90.00°, β = 94.68°, γ = 90.00°
Last column: nearest neighbours and their distance in Å.
Atoms (fractional coordinates):
1 Rb 0.0000 0.1898 0.2500  10 O 2.99-3.16
2 Rb 0.0000 0.8102 0.7500  10 O 2.99-3.16
3 Lu 0.5000 0.1047 0.2500  8 O 2.22-2.45
4 Lu 0.5000 0.8953 0.7500  8 O 2.22-2.45
5 S 0.2899 0.3211 0.8489  4 O 1.45-1.52
6 S 0.2899 0.6789 0.3489  4 O 1.45-1.52
7 S 0.7101 0.3211 0.6511  4 O 1.45-1.52
8 S 0.7101 0.6789 0.1511  4 O 1.45-1.52
9 O 0.1469 0.3168 0.9265  1 S 1.45
10 O 0.1469 0.6832 0.4265  1 S 1.45
11 O 0.2881 0.1495 0.6917  1 S 1.50
12 O 0.2881 0.8505 0.1917  1 S 1.50
13 O 0.3306 0.4062 0.3035  1 S 1.49
14 O 0.3306 0.5938 0.8035  1 S 1.49
15 O 0.4186 0.2041 0.9651  1 S 1.52
16 O 0.4186 0.7959 0.4651  1 S 1.52
17 O 0.5814 0.2041 0.5349  1 S 1.52
18 O 0.5814 0.7959 0.0349  1 S 1.52
19 O 0.6694 0.4062 0.1965  1 S 1.49
20 O 0.6694 0.5938 0.6965  1 S 1.49
21 O 0.7119 0.1495 0.8083  1 S 1.50
22 O 0.7119 0.8505 0.3083  1 S 1.50
23 O 0.8531 0.3168 0.5735  1 S 1.45
24 O 0.8531 0.6832 0.0735  1 S 1.45

For the uncorrected formation energy, the calculation gives -48.38 kcal/mol of atoms. As for the density of states at the Fermi level: 0.0 states/eV/cell.

***

Crystalline CaTaMo2 at its relaxed geometry. Source: the Alexandria database, functional GGA-PBE.

a = 2.8927 Å, b = 2.8927 Å, c = 9.8136 Å
α = 90.00°, β = 90.00°, γ = 111.35°
Last column: nearest neighbours and their distance in Å.
Atoms (fractional coordinates):
1 Ca 0.0000 0.0000 0.0000  4 Ca 2.89, 2 Mo 3.12
2 Ta 0.5000 0.5000 0.7045  2 Mo 2.73, 4 Ta 2.89
3 Mo 0.0000 0.0000 0.4811  6 Mo 2.63-2.89, 2 Ta 2.73
4 Mo 0.5000 0.5000 0.2706  6 Mo 2.63-2.89

Its formation energy is 0.4313 eV/atom. As for the density of states at the Fermi level: 3.6 states/eV/cell.

***

Crystalline KAl at its relaxed geometry. Source: the Alexandria database, functional GGA-PBE.

a = 8.3643 Å, b = 8.3643 Å, c = 8.3643 Å
α = 93.44°, β = 93.44°, γ = 151.63°
Last column: nearest neighbours and their distance in Å.
Atoms (fractional coordinates):
1 K 0.1592 0.1592 0.3184  4 K 3.59-3.65, 6 Al 3.74-3.93
2 K 0.1592 0.8408 0.0000  4 K 3.59-3.65, 6 Al 3.74-3.93
3 K 0.8408 0.1592 0.0000  4 K 3.59-3.65, 6 Al 3.74-3.93
4 K 0.8408 0.8408 0.6816  4 K 3.59-3.65, 6 Al 3.74-3.93
5 Al 0.1199 0.5000 0.6199  5 Al 2.75-2.82
6 Al 0.5000 0.1199 0.6199  5 Al 2.75-2.82
7 Al 0.5000 0.8801 0.3801  5 Al 2.75-2.82
8 Al 0.8801 0.5000 0.3801  5 Al 2.75-2.82

Its formation energy is 0.1474 eV/atom. As for the density of states at the Fermi level: 4.9 states/eV/cell.

***

no.,E (eV per atom)
1,-3.474
2,-8.562
3,-5.644
4,-2.283
5,-3.007
6,-1.968
7,-2.831
8,-5.610
9,-6.549
10,-8.448
11,-2.273